[1]
Entry from Alexandria via LeMat-Bulk: CeHoMnCo after structural relaxation (PBE).

abc: 4.8212 4.8212 4.8212
angles: 60.00 60.00 60.00
With the nearest neighbours (Å) after each atom.
Element x y z (fractional)
Ho 0.2500 0.2500 0.2500  4 Mn 2.95, 4 Co 2.95
Co 0.5000 0.5000 0.5000  4 Ho 2.95, 4 Ce 2.95
Mn 0.0000 0.0000 0.0000  4 Ce 2.95, 4 Ho 2.95
Ce 0.7500 0.7500 0.7500  4 Co 2.95, 4 Mn 2.95

Summary:
**Volume**: 19.81 Å³/atom
**Formation energy from the elements**: 0.070 eV per atom
**Fermi-level density of states**: 6.25 states/eV/cell


[2]
Entry from Alexandria via LeMat-Bulk: GaRhBr3 after structural relaxation (PBE).

abc: 5.2092 5.2092 5.2092
angles: 90.00 90.00 90.00
With the nearest neighbours (Å) after each atom.
Element x y z (fractional)
Ga 0.0000 0.0000 0.0000  6 Br 2.60
Br 0.0000 0.0000 0.5000  2 Ga 2.60
Br 0.0000 0.5000 0.0000  2 Ga 2.60
Br 0.5000 0.0000 0.0000  2 Ga 2.60
Rh 0.5000 0.5000 0.5000  12 Br 3.68

Summary:
**Energy above the lowest structure with this stoichiometry**: 565 meV per atom
**ΔE_f (raw)**: 0.367 eV/atom
**Volume**: 28.27 Å³/atom
**Fermi-level density of states**: 8.60 states/eV/cell


[3]
Entry from Alexandria via LeMat-Bulk: SrCa4Os after structural relaxation (PBE).

abc: 6.5349 6.5349 6.5349
angles: 60.00 60.00 60.00
With the nearest neighbours (Å) after each atom.
Element x y z (fractional)
Ca 0.3770 0.3770 0.8691  6 Ca 3.22-3.32
Ca 0.3770 0.8691 0.3770  6 Ca 3.22-3.32
Os 0.7500 0.7500 0.7500  12 Ca 3.83, 4 Sr 4.00
Sr 0.0000 0.0000 0.0000  12 Ca 3.84, 4 Os 4.00
Ca 0.3770 0.3770 0.3770  6 Ca 3.22-3.32
Ca 0.8691 0.3770 0.3770  6 Ca 3.22-3.32

Summary:
**Volume**: 32.89 Å³/atom
**Formation energy from the elements**: 0.920 eV per atom
**Fermi-level density of states**: 8.98 states/eV/cell


[4]
Entry from Alexandria via LeMat-Bulk: Pm2NdPaRu2 after structural relaxation (PBE).

abc: 6.8564 7.1444 8.3885
angles: 115.20 114.12 90.00
With the nearest neighbours (Å) after each atom.
Element x y z (fractional)
Pm 0.1968 0.4993 0.3936  2 Ru 2.89-3.16
Pm 0.3032 0.1057 0.6064  2 Ru 2.89-3.16
Pm 0.6968 0.8943 0.3936  2 Ru 2.89-3.16
Nd 0.2500 0.0000 0.0000  4 Ru 3.03
Pa 0.2500 0.5000 0.0000  4 Ru 2.60
Pa 0.7500 0.5000 0.0000  4 Ru 2.60
Ru 0.4033 0.6060 0.8065  2 Pa 2.60, 1 Pm 2.89
Ru 0.0967 0.7995 0.1935  2 Pa 2.60, 1 Pm 2.89
Nd 0.7500 0.0000 0.0000  4 Ru 3.03
Ru 0.5967 0.3940 0.1935  2 Pa 2.60, 1 Pm 2.89
Ru 0.9033 0.2005 0.8065  2 Pa 2.60, 1 Pm 2.89
Pm 0.8032 0.5007 0.6064  2 Ru 2.89-3.16

Summary:
**Volume**: 27.64 Å³/atom
**Formation energy from the elements**: -0.252 eV per atom
**Fermi-level density of states**: 12.92 states/eV/cell


[5]
Entry from Alexandria via LeMat-Bulk: Mn3SiB after structural relaxation (PBE).

abc: 4.1963 5.4088 5.4088
angles: 119.97 90.00 90.00
With the nearest neighbours (Å) after each atom.
Element x y z (fractional)
B 0.5000 0.0000 0.0000  6 Mn 2.00, 2 B 2.10
Mn 0.7500 0.1821 0.8179  2 B 2.00
Mn 0.2500 0.8179 0.1821  2 B 2.00
Mn 0.7500 0.6360 0.8178  2 B 2.00
Si 0.2500 0.3334 0.6666  12 Mn 2.53-2.71
Mn 0.2500 0.8178 0.6360  2 B 2.00
Si 0.7500 0.6666 0.3334  12 Mn 2.53-2.71
Mn 0.2500 0.3640 0.1822  2 B 2.00
Mn 0.7500 0.1822 0.3640  2 B 2.00
B 0.0000 0.0000 0.0000  6 Mn 2.00, 2 B 2.10

Summary:
**Energy above the lowest structure with this stoichiometry**: 0 meV per atom
**ΔE_f (raw)**: -0.106 eV/atom
**Volume**: 10.63 Å³/atom
**Fermi-level density of states**: 10.18 states/eV/cell


[6]
Entry from Alexandria via LeMat-Bulk: Pr2Ho3Tm3 after structural relaxation (PBE).

abc: 5.5743 6.5528 15.8044
angles: 90.00 90.00 115.17
With the nearest neighbours (Å) after each atom.
Element x y z (fractional)
Ho 0.2645 0.5289 0.7500  3 Tm 3.30-3.46, 2 Ho 3.33, 4 Pr 3.41
Pr 0.7824 0.5647 0.8734  4 Tm 3.27-3.45, 3 Ho 3.41-3.59
Ho 0.9191 0.8383 0.4095  2 Ho 3.33-3.44, 3 Pr 3.59-3.72, 5 Tm 3.59-3.68
Pr 0.2176 0.4353 0.1266  4 Tm 3.27-3.45, 3 Ho 3.41-3.59
Tm 0.3848 0.7697 0.9493  1 Tm 3.17, 3 Pr 3.27-3.43, 1 Ho 3.46
Tm 0.4573 0.9146 0.2500  1 Ho 3.30, 2 Pr 3.45, 2 Tm 3.66
Pr 0.7824 0.5647 0.6266  4 Tm 3.27-3.45, 3 Ho 3.41-3.59
Tm 0.5427 0.0854 0.7500  1 Ho 3.30, 2 Pr 3.45, 2 Tm 3.66
Tm 0.6152 0.2303 0.0507  1 Tm 3.17, 3 Pr 3.27-3.43, 1 Ho 3.46
Tm 0.6152 0.2303 0.4493  1 Tm 3.17, 3 Pr 3.27-3.43, 1 Ho 3.46
Ho 0.9191 0.8383 0.0905  2 Ho 3.33-3.44, 3 Pr 3.59-3.72, 5 Tm 3.59-3.68
Ho 0.0809 0.1617 0.5905  2 Ho 3.33-3.44, 3 Pr 3.59-3.72, 5 Tm 3.59-3.68
Tm 0.3848 0.7697 0.5507  1 Tm 3.17, 3 Pr 3.27-3.43, 1 Ho 3.46
Ho 0.7355 0.4711 0.2500  3 Tm 3.30-3.46, 2 Ho 3.33, 4 Pr 3.41
Pr 0.2176 0.4353 0.3734  4 Tm 3.27-3.45, 3 Ho 3.41-3.59
Ho 0.0809 0.1617 0.9095  2 Ho 3.33-3.44, 3 Pr 3.59-3.72, 5 Tm 3.59-3.68

Summary:
**Energy above the lowest structure with this stoichiometry**: 0 meV per atom
**Volume**: 32.65 Å³/atom
**Formation energy from the elements**: 0.145 eV per atom
**Fermi-level density of states**: 27.55 states/eV/cell


[7]
Entry from Alexandria via LeMat-Bulk: Pr2Tl2Hg after structural relaxation (PBE).

abc: 4.9076 6.3741 10.6295
angles: 89.25 76.65 67.36
With the nearest neighbours (Å) after each atom.
Element x y z (fractional)
Pr 0.6894 0.2907 0.3306  3 Hg 3.32-3.56, 5 Tl 3.34-3.56
Tl 0.9040 0.7411 0.4509  3 Hg 2.95-3.28, 1 Tl 3.09
Tl 0.3479 0.1900 0.1143  1 Hg 2.97, 1 Tl 3.11, 1 Pr 3.26
Pr 0.0815 0.7402 0.0969  5 Tl 3.26-3.60, 2 Hg 3.34
Tl 0.0960 0.2589 0.5491  3 Hg 2.95-3.28, 1 Tl 3.09
Pr 0.3106 0.7093 0.6694  3 Hg 3.32-3.56, 5 Tl 3.34-3.56
Hg 0.4185 0.8515 0.3115  4 Tl 2.95-3.28
Tl 0.6521 0.8100 0.8857  1 Hg 2.97, 1 Tl 3.11, 1 Pr 3.26
Pr 0.9185 0.2598 0.9031  5 Tl 3.26-3.60, 2 Hg 3.34
Hg 0.5815 0.1485 0.6885  4 Tl 2.95-3.28

Summary:
**Energy above the lowest structure with this stoichiometry**: 0 meV per atom
**Volume**: 29.75 Å³/atom
**Formation energy from the elements**: -0.353 eV per atom
**Fermi-level density of states**: 7.70 states/eV/cell


[8]
Entry from Alexandria via LeMat-Bulk: UCuRu2 after structural relaxation (PBE).

abc: 4.4989 4.4989 4.4989
angles: 60.00 60.00 60.00
With the nearest neighbours (Å) after each atom.
Element x y z (fractional)
U 0.0000 0.0000 0.0000  8 Ru 2.76
Cu 0.5000 0.5000 0.5000  8 Ru 2.76
Ru 0.7500 0.7500 0.7500  4 Cu 2.76, 4 U 2.76
Ru 0.2500 0.2500 0.2500  4 Cu 2.76, 4 U 2.76

Summary:
**Energy above the lowest structure with this stoichiometry**: 221 meV per atom
**Volume**: 16.10 Å³/atom
**Formation energy from the elements**: -0.058 eV per atom
**Fermi-level density of states**: 6.68 states/eV/cell


[9]
Entry from Alexandria via LeMat-Bulk: TbY3Th4S8 after structural relaxation (PBE).

abc: 7.8289 8.0994 7.8284
angles: 118.89 120.00 90.00
With the nearest neighbours (Å) after each atom.
Element x y z (fractional)
S 0.7446 0.7352 0.9899  2 Y 2.76, 1 Tb 2.76, 3 Th 2.87-2.88
S 0.7547 0.2648 0.5094  2 Y 2.76, 1 Tb 2.76, 3 Th 2.87-2.88
S 0.2453 0.7352 0.4906  2 Y 2.76, 1 Tb 2.76, 3 Th 2.87-2.88
Th 0.0000 0.0000 0.5000  6 S 2.88
S 0.7450 0.7349 0.4899  3 Y 2.76, 3 Th 2.88
Y 0.5000 0.5000 0.0000  6 S 2.76
Y 0.0000 0.5000 0.5000  6 S 2.76
Th 0.5000 0.0000 0.0000  6 S 2.87
S 0.2453 0.7352 0.9899  2 Y 2.76, 1 Tb 2.76, 3 Th 2.87-2.88
S 0.7547 0.2648 0.0101  2 Y 2.76, 1 Tb 2.76, 3 Th 2.87-2.88
Th 0.5000 0.0000 0.5000  6 S 2.88
Y 0.5000 0.5000 0.5000  6 S 2.76
Th 0.0000 0.0000 0.0000  6 S 2.88
S 0.2550 0.2651 0.5101  3 Y 2.76, 3 Th 2.88
Tb 0.0000 0.5000 0.0000  6 S 2.76
S 0.2554 0.2648 0.0101  2 Y 2.76, 1 Tb 2.76, 3 Th 2.87-2.88

Summary:
**ΔE_f (raw)**: -1.917 eV/atom
**Volume**: 22.30 Å³/atom
**Fermi-level density of states**: 5.09 states/eV/cell


[10]
Entry from Alexandria via LeMat-Bulk: Mg2Si after structural relaxation (PBE).

abc: 5.7793 5.9502 7.9217
angles: 100.63 107.93 104.39
With the nearest neighbours (Å) after each atom.
Element x y z (fractional)
Mg 0.9205 0.3594 0.2125  3 Si 2.73-3.00, 1 Mg 3.01
Mg 0.0795 0.6406 0.7875  3 Si 2.73-3.00, 1 Mg 3.01
Mg 0.5430 0.3768 0.8311  3 Si 2.72-2.85
Mg 0.4570 0.6232 0.1689  3 Si 2.72-2.85
Si 0.6065 0.8800 0.9310  1 Si 2.42, 1 Mg 2.70
Mg 0.4040 0.7462 0.5503  3 Si 2.75-2.98, 1 Mg 3.08
Si 0.8890 0.7857 0.4810  1 Si 2.47, 2 Mg 2.72-2.73
Si 0.3935 0.1200 0.0690  1 Si 2.42, 1 Mg 2.70
Mg 0.5960 0.2538 0.4497  3 Si 2.75-2.98, 1 Mg 3.08
Si 0.1110 0.2143 0.5190  1 Si 2.47, 2 Mg 2.72-2.73
Mg 0.0374 0.8711 0.1871  4 Si 2.70-2.86, 1 Mg 3.01
Mg 0.9626 0.1289 0.8129  4 Si 2.70-2.86, 1 Mg 3.01

Summary:
**ΔE_f (raw)**: -0.021 eV/atom
**Volume**: 20.06 Å³/atom
**Fermi-level density of states**: 3.66 states/eV/cell


[11]
Entry from Alexandria via LeMat-Bulk: KGaI2 after structural relaxation (PBE).

abc: 7.5615 7.5615 9.6252
angles: 66.87 66.87 90.00
With the nearest neighbours (Å) after each atom.
Element x y z (fractional)
Ga 0.7500 0.2500 0.5000  4 I 3.22
I 0.8750 0.9030 0.7500  2 Ga 3.22, 2 K 3.46
I 0.0970 0.6250 0.2500  2 Ga 3.22, 2 K 3.46
K 0.5000 0.5000 0.0000  4 I 3.46
I 0.6530 0.1250 0.2500  2 Ga 3.22, 2 K 3.46
Ga 0.0000 0.0000 0.0000  4 I 3.22
I 0.3750 0.3470 0.7500  2 Ga 3.22, 2 K 3.46
K 0.2500 0.7500 0.5000  4 I 3.46

Summary:
**Energy above the lowest structure with this stoichiometry**: 77 meV per atom
**ΔE_f (raw)**: -0.821 eV/atom
**Volume**: 57.20 Å³/atom
**Fermi-level density of states**: 0.00 states/eV/cell


[12]
Entry from Alexandria via LeMat-Bulk: TiGeW after structural relaxation (PBE).

abc: 4.0807 4.0807 7.9914
angles: 75.21 75.21 60.00
With the nearest neighbours (Å) after each atom.
Element x y z (fractional)
Ti 0.4289 0.4289 0.7134  3 Ge 2.60, 4 W 2.76-2.86
W 0.3083 0.3083 0.0752  3 W 2.62, 4 Ti 2.76-2.86
Ge 0.1437 0.1437 0.5690  3 Ge 2.58, 3 Ti 2.60
W 0.6917 0.6917 0.9248  3 W 2.62, 4 Ti 2.76-2.86
Ge 0.8563 0.8563 0.4310  3 Ge 2.58, 3 Ti 2.60
Ti 0.5711 0.5711 0.2866  3 Ge 2.60, 4 W 2.76-2.86

Summary:
**Volume**: 18.35 Å³/atom
**Formation energy from the elements**: 0.557 eV per atom
**Fermi-level density of states**: 6.38 states/eV/cell